{"formula": "CaNi2TeO6", "functional": "PBE with a Hubbard U", "state": "optimized geometry", "cell": [[5.317, 0.001, 0.001], [2.658, 4.605, 0.005], [2.657, 1.530, 4.835]], "species": ["Ca", "Ni", "Ni", "Te", "O", "O", "O", "O", "O", "O"], "fractional_positions": [[0.806, 0.806, 0.582], [0.522, 0.522, 0.435], [0.013, 0.013, 0.962], [0.322, 0.322, 0.033], [0.583, 0.243, 0.233], [0.243, 0.941, 0.233], [0.941, 0.583, 0.233], [0.375, 0.708, 0.769], [0.708, 0.148, 0.769], [0.148, 0.375, 0.769]], "total_energy_ev_per_atom": -5.52, "dos_ef_per_ev_fu": 0.0}